[1]
A plane-wave DFT calculation with PBE-GGA was carried out for a relaxed structure of CsHo2Cu3SeS4.

Final energy (eV per atom): -4.947
Crystal system: orthorhombic

The structure in CIF format:
```
data_CsHo2Cu3SeS4
_symmetry_space_group_name_H-M 'P 1'
_symmetry_Int_Tables_number 1
_symmetry_space_group_name_Hall 'P 1'
_cell_length_a 7.3144
_cell_length_b 7.3144
_cell_length_c 16.9041
_cell_angle_alpha 90.00
_cell_angle_beta 90.00
_cell_angle_gamma 148.43
loop_
_atom_site_label
_atom_site_fract_x
_atom_site_fract_y
_atom_site_fract_z
_atom_site_occupancy
Cs1 0.0601 0.9399 0.7500 1
Cs2 0.9399 0.0601 0.2500 1
Ho1 0.1904 0.8096 0.0887 1
Ho2 0.1904 0.8096 0.4113 1
Ho3 0.8096 0.1904 0.5887 1
Ho4 0.8096 0.1904 0.9113 1
Cu1 0.3510 0.6490 0.7500 1
Cu2 0.4158 0.5842 0.0369 1
Cu3 0.4158 0.5842 0.4631 1
Cu4 0.5842 0.4158 0.5369 1
Cu5 0.5842 0.4158 0.9631 1
Cu6 0.6490 0.3510 0.2500 1
Se1 0.2377 0.7623 0.2500 1
Se2 0.7623 0.2377 0.7500 1
S1 0.1699 0.8301 0.5684 1
S2 0.1699 0.8301 0.9316 1
S3 0.4376 0.5624 0.6078 1
S4 0.4376 0.5624 0.8922 1
S5 0.5624 0.4376 0.1078 1
S6 0.5624 0.4376 0.3922 1
S7 0.8301 0.1699 0.0684 1
S8 0.8301 0.1699 0.4316 1
```

[2]
A plane-wave DFT calculation with PBE-GGA was carried out for a relaxed structure of CsHo2Cu3Se4S.

Final energy (eV per atom): -4.719
Crystal system: orthorhombic

The structure in CIF format:
```
data_CsHo2Cu3Se4S
_symmetry_space_group_name_H-M 'P 1'
_symmetry_Int_Tables_number 1
_symmetry_space_group_name_Hall 'P 1'
_cell_length_a 7.6208
_cell_length_b 7.6208
_cell_length_c 17.1528
_cell_angle_alpha 90.00
_cell_angle_beta 90.00
_cell_angle_gamma 148.90
loop_
_atom_site_label
_atom_site_fract_x
_atom_site_fract_y
_atom_site_fract_z
_atom_site_occupancy
Cs1 0.0662 0.9338 0.7500 1
Cs2 0.9338 0.0662 0.2500 1
Ho1 0.1929 0.8071 0.0949 1
Ho2 0.1929 0.8071 0.4051 1
Ho3 0.8071 0.1929 0.5949 1
Ho4 0.8071 0.1929 0.9051 1
Cu1 0.3378 0.6622 0.7500 1
Cu2 0.4159 0.5841 0.0299 1
Cu3 0.4159 0.5841 0.4701 1
Cu4 0.5841 0.4159 0.5299 1
Cu5 0.5841 0.4159 0.9701 1
Cu6 0.6622 0.3378 0.2500 1
Se1 0.1689 0.8311 0.5697 1
Se2 0.1689 0.8311 0.9303 1
Se3 0.4395 0.5605 0.6140 1
Se4 0.4395 0.5605 0.8860 1
Se5 0.5605 0.4395 0.1140 1
Se6 0.5605 0.4395 0.3860 1
Se7 0.8311 0.1689 0.0697 1
Se8 0.8311 0.1689 0.4303 1
S1 0.2311 0.7689 0.2500 1
S2 0.7689 0.2311 0.7500 1
```

[3]
A plane-wave DFT calculation with PBE-GGA was carried out for a relaxed structure of CsHo2CuSeS3.

Excess energy over the best structure of this formula in the dataset (meV per atom): 0
Crystal system: orthorhombic

The structure in CIF format:
```
data_CsHo2CuSeS3
_symmetry_space_group_name_H-M 'P 1'
_symmetry_Int_Tables_number 1
_symmetry_space_group_name_Hall 'P 1'
_cell_length_a 7.3947
_cell_length_b 7.3947
_cell_length_c 13.8591
_cell_angle_alpha 90.00
_cell_angle_beta 90.00
_cell_angle_gamma 148.23
loop_
_atom_site_label
_atom_site_fract_x
_atom_site_fract_y
_atom_site_fract_z
_atom_site_occupancy
Cs1 0.1036 0.8964 0.7500 1
Cs2 0.8964 0.1036 0.2500 1
Ho1 0.3609 0.6391 0.5634 1
Ho2 0.3609 0.6391 0.9366 1
Ho3 0.6391 0.3609 0.0634 1
Ho4 0.6391 0.3609 0.4366 1
Cu1 0.1695 0.8305 0.2500 1
Cu2 0.8305 0.1695 0.7500 1
Se1 0.0000 0.0000 0.0000 1
Se2 0.0000 0.0000 0.5000 1
S1 0.2567 0.7433 0.1056 1
S2 0.2567 0.7433 0.3944 1
S3 0.4151 0.5849 0.7500 1
S4 0.5849 0.4151 0.2500 1
S5 0.7433 0.2567 0.6056 1
S6 0.7433 0.2567 0.8944 1
```

[4]
A plane-wave DFT calculation with PBE-GGA was carried out for a relaxed structure of CsHo2CuSeS3.

Excess energy over the best structure of this formula in the dataset (meV per atom): 32
Crystal system: orthorhombic

The structure in CIF format:
```
data_CsHo2CuSeS3
_symmetry_space_group_name_H-M 'P 1'
_symmetry_Int_Tables_number 1
_symmetry_space_group_name_Hall 'P 1'
_cell_length_a 7.3615
_cell_length_b 7.3615
_cell_length_c 14.0101
_cell_angle_alpha 90.00
_cell_angle_beta 90.00
_cell_angle_gamma 148.17
loop_
_atom_site_label
_atom_site_fract_x
_atom_site_fract_y
_atom_site_fract_z
_atom_site_occupancy
Cs1 0.1132 0.8868 0.7500 1
Cs2 0.8868 0.1132 0.2500 1
Ho1 0.3661 0.6339 0.5573 1
Ho2 0.3661 0.6339 0.9427 1
Ho3 0.6339 0.3661 0.0573 1
Ho4 0.6339 0.3661 0.4427 1
Cu1 0.1727 0.8273 0.2500 1
Cu2 0.8273 0.1727 0.7500 1
Se1 0.4237 0.5763 0.7500 1
Se2 0.5763 0.4237 0.2500 1
S1 0.0000 0.0000 0.0000 1
S2 0.0000 0.0000 0.5000 1
S3 0.2536 0.7464 0.1035 1
S4 0.2536 0.7464 0.3965 1
S5 0.7464 0.2536 0.6035 1
S6 0.7464 0.2536 0.8965 1
```

[5]
A plane-wave DFT calculation with PBE-GGA was carried out for a relaxed structure of CsHo2CuSe3S.

Final energy (eV per atom): -5.062
Crystal system: orthorhombic

The structure in CIF format:
```
data_CsHo2CuSe3S
_symmetry_space_group_name_H-M 'P 1'
_symmetry_Int_Tables_number 1
_symmetry_space_group_name_Hall 'P 1'
_cell_length_a 7.5348
_cell_length_b 7.5348
_cell_length_c 14.2594
_cell_angle_alpha 90.00
_cell_angle_beta 90.00
_cell_angle_gamma 148.37
loop_
_atom_site_label
_atom_site_fract_x
_atom_site_fract_y
_atom_site_fract_z
_atom_site_occupancy
Cs1 0.1026 0.8974 0.7500 1
Cs2 0.8974 0.1026 0.2500 1
Ho1 0.3665 0.6335 0.5667 1
Ho2 0.3665 0.6335 0.9333 1
Ho3 0.6335 0.3665 0.0667 1
Ho4 0.6335 0.3665 0.4333 1
Cu1 0.1615 0.8385 0.2500 1
Cu2 0.8385 0.1615 0.7500 1
Se1 0.0000 0.0000 0.0000 1
Se2 0.0000 0.0000 0.5000 1
Se3 0.2594 0.7406 0.1070 1
Se4 0.2594 0.7406 0.3930 1
Se5 0.7406 0.2594 0.6070 1
Se6 0.7406 0.2594 0.8930 1
S1 0.4175 0.5825 0.7500 1
S2 0.5825 0.4175 0.2500 1
```

[6]
A plane-wave DFT calculation with PBE-GGA was carried out for a relaxed structure of CsHo2CuTe3S.

Final energy (eV per atom): -4.643
Crystal system: orthorhombic

The structure in CIF format:
```
data_CsHo2CuTe3S
_symmetry_space_group_name_H-M 'P 1'
_symmetry_Int_Tables_number 1
_symmetry_space_group_name_Hall 'P 1'
_cell_length_a 7.9629
_cell_length_b 7.9629
_cell_length_c 14.9949
_cell_angle_alpha 90.00
_cell_angle_beta 90.00
_cell_angle_gamma 148.74
loop_
_atom_site_label
_atom_site_fract_x
_atom_site_fract_y
_atom_site_fract_z
_atom_site_occupancy
Cs1 0.0910 0.9090 0.7500 1
Cs2 0.9090 0.0910 0.2500 1
Ho1 0.3675 0.6325 0.5769 1
Ho2 0.3675 0.6325 0.9231 1
Ho3 0.6325 0.3675 0.0769 1
Ho4 0.6325 0.3675 0.4231 1
Cu1 0.1609 0.8391 0.2500 1
Cu2 0.8391 0.1609 0.7500 1
Te1 0.0000 0.0000 0.0000 1
Te2 0.0000 0.0000 0.5000 1
Te3 0.2658 0.7342 0.1102 1
Te4 0.2658 0.7342 0.3898 1
Te5 0.7342 0.2658 0.6102 1
Te6 0.7342 0.2658 0.8898 1
S1 0.4143 0.5857 0.7500 1
S2 0.5857 0.4143 0.2500 1
```

[7]
A plane-wave DFT calculation with PBE-GGA was carried out for a relaxed structure of Cs2Ho4Cu4Se9.

Final energy (eV per atom): -4.763
Crystal system: monoclinic

The structure in CIF format:
```
data_Cs2Ho4Cu4Se9
_symmetry_space_group_name_H-M 'P 1'
_symmetry_Int_Tables_number 1
_symmetry_space_group_name_Hall 'P 1'
_cell_length_a 7.6200
_cell_length_b 7.6200
_cell_length_c 16.6808
_cell_angle_alpha 107.90
_cell_angle_beta 107.90
_cell_angle_gamma 31.43
loop_
_atom_site_label
_atom_site_fract_x
_atom_site_fract_y
_atom_site_fract_z
_atom_site_occupancy
Cs1 0.0311 0.0311 0.2721 1
Cs2 0.9689 0.9689 0.7279 1
Ho1 0.2299 0.2299 0.1020 1
Ho2 0.3465 0.3465 0.4446 1
Ho3 0.6535 0.6535 0.5554 1
Ho4 0.7701 0.7701 0.8980 1
Cu1 0.2487 0.2487 0.7313 1
Cu2 0.4274 0.4274 0.0332 1
Cu3 0.5726 0.5726 0.9668 1
Cu4 0.7513 0.7513 0.2687 1
Se1 0.0000 0.0000 0.5000 1
Se2 0.1411 0.1411 0.9250 1
Se3 0.2917 0.2917 0.5973 1
Se4 0.3412 0.3412 0.2751 1
Se5 0.3934 0.3934 0.8761 1
Se6 0.6066 0.6066 0.1239 1
Se7 0.6588 0.6588 0.7249 1
Se8 0.7083 0.7083 0.4027 1
Se9 0.8589 0.8589 0.0750 1
```

[8]
A plane-wave DFT calculation with PBE-GGA was carried out for a relaxed structure of CsHo2CuSe4.

Final energy (eV per atom): -4.945
Crystal system: orthorhombic

The structure in CIF format:
```
data_CsHo2CuSe4
_symmetry_space_group_name_H-M 'P 1'
_symmetry_Int_Tables_number 1
_symmetry_space_group_name_Hall 'P 1'
_cell_length_a 7.5959
_cell_length_b 7.5959
_cell_length_c 14.4855
_cell_angle_alpha 90.00
_cell_angle_beta 90.00
_cell_angle_gamma 148.17
loop_
_atom_site_label
_atom_site_fract_x
_atom_site_fract_y
_atom_site_fract_z
_atom_site_occupancy
Cs1 0.1085 0.8915 0.7500 1
Cs2 0.8915 0.1085 0.2500 1
Ho1 0.3662 0.6338 0.5627 1
Ho2 0.3662 0.6338 0.9373 1
Ho3 0.6338 0.3662 0.0627 1
Ho4 0.6338 0.3662 0.4373 1
Cu1 0.1647 0.8353 0.2500 1
Cu2 0.8353 0.1647 0.7500 1
Se1 0.0000 0.0000 0.0000 1
Se2 0.0000 0.0000 0.5000 1
Se3 0.2574 0.7426 0.1058 1
Se4 0.2574 0.7426 0.3942 1
Se5 0.4229 0.5771 0.7500 1
Se6 0.5771 0.4229 0.2500 1
Se7 0.7426 0.2574 0.6058 1
Se8 0.7426 0.2574 0.8942 1
```

[9]
A plane-wave DFT calculation with PBE-GGA was carried out for a relaxed structure of CsHo2CuTe3Se.

Final energy (eV per atom): -4.538
Crystal system: orthorhombic

The structure in CIF format:
```
data_CsHo2CuTe3Se
_symmetry_space_group_name_H-M 'P 1'
_symmetry_Int_Tables_number 1
_symmetry_space_group_name_Hall 'P 1'
_cell_length_a 8.0129
_cell_length_b 8.0129
_cell_length_c 15.1374
_cell_angle_alpha 90.00
_cell_angle_beta 90.00
_cell_angle_gamma 148.54
loop_
_atom_site_label
_atom_site_fract_x
_atom_site_fract_y
_atom_site_fract_z
_atom_site_occupancy
Cs1 0.0991 0.9009 0.7500 1
Cs2 0.9009 0.0991 0.2500 1
Ho1 0.3676 0.6324 0.5718 1
Ho2 0.3676 0.6324 0.9282 1
Ho3 0.6324 0.3676 0.0718 1
Ho4 0.6324 0.3676 0.4282 1
Cu1 0.1613 0.8387 0.2500 1
Cu2 0.8387 0.1613 0.7500 1
Te1 0.0000 0.0000 0.0000 1
Te2 0.0000 0.0000 0.5000 1
Te3 0.2628 0.7372 0.1091 1
Te4 0.2628 0.7372 0.3909 1
Te5 0.7372 0.2628 0.6091 1
Te6 0.7372 0.2628 0.8909 1
Se1 0.4209 0.5791 0.7500 1
Se2 0.5791 0.4209 0.2500 1
```

[10]
A plane-wave DFT calculation with PBE-GGA was carried out for a relaxed structure of CsHo2Cu3Te4Se.

Final energy (eV per atom): -4.273
Crystal system: orthorhombic

The structure in CIF format:
```
data_CsHo2Cu3Te4Se
_symmetry_space_group_name_H-M 'P 1'
_symmetry_Int_Tables_number 1
_symmetry_space_group_name_Hall 'P 1'
_cell_length_a 8.0891
_cell_length_b 8.0891
_cell_length_c 18.0223
_cell_angle_alpha 90.00
_cell_angle_beta 90.00
_cell_angle_gamma 149.04
loop_
_atom_site_label
_atom_site_fract_x
_atom_site_fract_y
_atom_site_fract_z
_atom_site_occupancy
Cs1 0.0670 0.9330 0.7500 1
Cs2 0.9330 0.0670 0.2500 1
Ho1 0.1936 0.8064 0.0975 1
Ho2 0.1936 0.8064 0.4025 1
Ho3 0.8064 0.1936 0.5975 1
Ho4 0.8064 0.1936 0.9025 1
Cu1 0.3394 0.6606 0.7500 1
Cu2 0.4162 0.5838 0.0247 1
Cu3 0.4162 0.5838 0.4753 1
Cu4 0.5838 0.4162 0.5247 1
Cu5 0.5838 0.4162 0.9753 1
Cu6 0.6606 0.3394 0.2500 1
Te1 0.1659 0.8341 0.5704 1
Te2 0.1659 0.8341 0.9296 1
Te3 0.4425 0.5575 0.6189 1
Te4 0.4425 0.5575 0.8811 1
Te5 0.5575 0.4425 0.1189 1
Te6 0.5575 0.4425 0.3811 1
Te7 0.8341 0.1659 0.0704 1
Te8 0.8341 0.1659 0.4296 1
Se1 0.2362 0.7638 0.2500 1
Se2 0.7638 0.2362 0.7500 1
```

[11]
A plane-wave DFT calculation with PBE-GGA was carried out for a relaxed structure of CsHo2Cu3TeSe4.

Final energy (eV per atom): -4.521
Crystal system: orthorhombic

The structure in CIF format:
```
data_CsHo2Cu3TeSe4
_symmetry_space_group_name_H-M 'P 1'
_symmetry_Int_Tables_number 1
_symmetry_space_group_name_Hall 'P 1'
_cell_length_a 7.6374
_cell_length_b 7.6374
_cell_length_c 17.6812
_cell_angle_alpha 90.00
_cell_angle_beta 90.00
_cell_angle_gamma 148.28
loop_
_atom_site_label
_atom_site_fract_x
_atom_site_fract_y
_atom_site_fract_z
_atom_site_occupancy
Cs1 0.0529 0.9471 0.7500 1
Cs2 0.9471 0.0529 0.2500 1
Ho1 0.1891 0.8109 0.0853 1
Ho2 0.1891 0.8109 0.4147 1
Ho3 0.8109 0.1891 0.5853 1
Ho4 0.8109 0.1891 0.9147 1
Cu1 0.3527 0.6473 0.7500 1
Cu2 0.4153 0.5847 0.0324 1
Cu3 0.4153 0.5847 0.4676 1
Cu4 0.5847 0.4153 0.5324 1
Cu5 0.5847 0.4153 0.9676 1
Cu6 0.6473 0.3527 0.2500 1
Te1 0.2426 0.7574 0.2500 1
Te2 0.7574 0.2426 0.7500 1
Se1 0.1688 0.8312 0.5717 1
Se2 0.1688 0.8312 0.9283 1
Se3 0.4395 0.5605 0.6094 1
Se4 0.4395 0.5605 0.8906 1
Se5 0.5605 0.4395 0.1094 1
Se6 0.5605 0.4395 0.3906 1
Se7 0.8312 0.1688 0.0717 1
Se8 0.8312 0.1688 0.4283 1
```

[12]
A plane-wave DFT calculation with PBE-GGA was carried out for a relaxed structure of CsHo2Cu3Te5.

Final energy (eV per atom): -4.183
Crystal system: orthorhombic

The structure in CIF format:
```
data_CsHo2Cu3Te5
_symmetry_space_group_name_H-M 'P 1'
_symmetry_Int_Tables_number 1
_symmetry_space_group_name_Hall 'P 1'
_cell_length_a 8.0698
_cell_length_b 8.0698
_cell_length_c 18.3847
_cell_angle_alpha 90.00
_cell_angle_beta 90.00
_cell_angle_gamma 148.56
loop_
_atom_site_label
_atom_site_fract_x
_atom_site_fract_y
_atom_site_fract_z
_atom_site_occupancy
Cs1 0.0568 0.9432 0.7500 1
Cs2 0.9432 0.0568 0.2500 1
Ho1 0.1921 0.8079 0.0901 1
Ho2 0.1921 0.8079 0.4099 1
Ho3 0.8079 0.1921 0.5901 1
Ho4 0.8079 0.1921 0.9099 1
Cu1 0.3435 0.6565 0.7500 1
Cu2 0.4157 0.5843 0.0256 1
Cu3 0.4157 0.5843 0.4744 1
Cu4 0.5843 0.4157 0.5256 1
Cu5 0.5843 0.4157 0.9744 1
Cu6 0.6565 0.3435 0.2500 1
Te1 0.1649 0.8351 0.5724 1
Te2 0.1649 0.8351 0.9276 1
Te3 0.2427 0.7573 0.2500 1
Te4 0.4418 0.5582 0.6155 1
Te5 0.4418 0.5582 0.8845 1
Te6 0.5582 0.4418 0.1155 1
Te7 0.5582 0.4418 0.3845 1
Te8 0.7573 0.2427 0.7500 1
Te9 0.8351 0.1649 0.0724 1
Te10 0.8351 0.1649 0.4276 1
```